(1)
VASP calculation (PBE-GGA) on an optimized crystal structure of Tb2Tm3Th4.

The space group is C2/m (No. 12) and the conventional cell measures 15.112, 5.008 and 7.929 Å, with angles of 90.00, 108.46 and 90.00 degrees. The inequivalent atoms are Tb at (0.167, 0.000, 0.002), Tm at (0.000, 0.500, 0.000), Tm at (0.110, 0.500, 0.664), Th at (0.058, 0.000, 0.334) and Th at (0.221, 0.500, 0.337).

For the formation enthalpy at 0 K, the calculation gives 0.038 eV/atom. As for the density: 10.23 g/cm³. Its uncorrected energy is -5.78 eV per atom. The calculation puts the relative energy among the computed polymorphs at 0.00 eV per formula unit. As for the total moment: 0.00 μB per atom.


(2)
VASP calculation (PBE-GGA) on an optimized crystal structure of BaCaIr2.

The space group is F-43m (No. 216) and the conventional cell measures 7.096, 7.096 and 7.096 Å, with angles of 90.00, 90.00 and 90.00 degrees. The inequivalent atoms are Ba at (0.000, 0.000, 0.000), Ca at (0.250, 0.250, 0.750), Ir at (0.000, 0.000, 0.500) and Ir at (0.250, 0.250, 0.250).

For the formation enthalpy at 0 K, the calculation gives 0.427 eV/atom. As for the density: 10.44 g/cm³. Its uncorrected energy is -4.98 eV per atom. The calculation puts the relative energy among the computed polymorphs at 2.74 eV per formula unit. As for the total moment: 0.34 μB per atom.


(3)
VASP calculation (PBE-GGA) on an optimized crystal structure of AcMgHg4.

The space group is I4/mmm (No. 139) and the conventional cell measures 13.224, 13.224 and 7.989 Å, with angles of 90.00, 90.00 and 90.00 degrees. The inequivalent atoms are Ac at (0.000, 0.000, 0.250), Ac at (0.000, 0.500, 0.250), Mg at (0.000, 0.239, 0.000), Hg at (0.116, 0.324, 0.500) and Hg at (0.171, 0.171, 0.223).

For the formation enthalpy at 0 K, the calculation gives -0.164 eV/atom. As for the density: 10.02 g/cm³. Its uncorrected energy is -1.32 eV per atom. The calculation puts the relative energy among the computed polymorphs at 0.01 eV per formula unit. As for the total moment: 0.00 μB per atom.


(4)
VASP calculation (PBE-GGA) on an optimized crystal structure of La2Zn4PdAu3.

The space group is P-4m2 (No. 115) and the conventional cell measures 4.380, 4.380 and 10.893 Å, with angles of 90.00, 90.00 and 90.00 degrees. The inequivalent atoms are La at (0.000, 0.500, 0.244), Zn at (0.000, 0.000, 0.500), Zn at (0.000, 0.500, 0.875), Zn at (0.500, 0.500, 0.500), Pd at (0.500, 0.500, 0.000), Au at (0.000, 0.000, 0.000) and Au at (0.000, 0.500, 0.639).

For the formation enthalpy at 0 K, the calculation gives -0.573 eV/atom. As for the density: 9.83 g/cm³. Its uncorrected energy is -3.57 eV per atom. As for the total moment: 0.00 μB per atom.


(5)
VASP calculation (PBE-GGA) on an optimized crystal structure of Er2Zn5Au.

The space group is Cmcm (No. 63) and the conventional cell measures 4.209, 16.101 and 8.972 Å, with angles of 90.00, 90.00 and 90.00 degrees. The inequivalent atoms are Er at (0.000, 0.000, 0.000), Er at (0.000, 0.192, 0.250), Zn at (0.000, 0.192, 0.607), Zn at (0.000, 0.350, 0.522), Zn at (0.000, 0.390, 0.250) and Au at (0.000, 0.451, 0.750).

For the formation enthalpy at 0 K, the calculation gives -0.421 eV/atom. As for the density: 9.38 g/cm³. Its uncorrected energy is -2.77 eV per atom. As for the total moment: 0.00 μB per atom.


(6)
VASP calculation (PBE-GGA) on an optimized crystal structure of NbPtAu2Cl.

The space group is P4/mmm (No. 123) and the conventional cell measures 5.121, 5.121 and 4.874 Å, with angles of 90.00, 90.00 and 90.00 degrees. The inequivalent atoms are Nb at (0.000, 0.000, 0.000), Pt at (0.000, 0.000, 0.500), Au at (0.000, 0.500, 0.500) and Cl at (0.500, 0.500, 0.000).

The raw formation energy is 3.494 eV per formula unit. As for the density: 9.32 g/cm³. Its uncorrected energy is -4.20 eV per atom. As for the total moment: 0.24 μB per atom.


(7)
VASP calculation (PBE-GGA) on an optimized crystal structure of SiTc2Ir.

The space group is P2/m (No. 10) and the conventional cell measures 2.760, 3.986 and 5.228 Å, with angles of 90.00, 101.71 and 90.00 degrees. The inequivalent atoms are Si at (0.000, 0.000, 0.000), Tc at (0.390, 0.500, 0.236) and Ir at (0.000, 0.000, 0.500).

The raw formation energy is -0.745 eV per formula unit. As for the density: 12.28 g/cm³. Its uncorrected energy is -8.94 eV per atom. As for the total moment: 0.00 μB per atom.


The lowest uncorrected energy belongs to which entry?
SiTc2Ir


What is the total moment in the seventh record?
0.00 μB per atom


Which of these has the highest total moment?
BaCaIr2


Look up the uncorrected energy of the sixth one.
-4.20 eV per atom